1.
# PBE BeTe2SI, optimized geometry
data_BeTe2SI
_cell_length_a 5.0662
_cell_length_b 5.0662
_cell_length_c 4.8942
_cell_angle_alpha 90.00
_cell_angle_beta 90.00
_cell_angle_gamma 90.00
_space_group_name_H-M_alt 'P 1'
_space_group_IT_number 1
_space_group_name_Hall 'P 1'
loop_
_atom_site_label
_atom_site_type_symbol
_atom_site_fract_x
_atom_site_fract_y
_atom_site_fract_z
S1 S 0.5000 0.5000 0.5000
Te1 Te 0.5000 0.0000 0.0000
Te2 Te 0.0000 0.5000 0.0000
Be1 Be 0.0000 0.0000 0.0000
I1 I 0.0000 0.0000 0.5000
# Density of states at the Fermi level ... 4.0 states/eV per cell
# Formation energy from raw total energies ... 58.34 kJ/mol of atoms
# Total magnetization ... 0.0000 μB per atom
# Uncorrected energy ... -2.533 eV per atom


2.
# PBE TiBe2SI, optimized geometry
data_TiBe2SI
_cell_length_a 4.2144
_cell_length_b 4.8426
_cell_length_c 4.2144
_cell_angle_alpha 90.00
_cell_angle_beta 90.00
_cell_angle_gamma 90.00
_space_group_name_H-M_alt 'P 1'
_space_group_IT_number 1
_space_group_name_Hall 'P 1'
loop_
_atom_site_label
_atom_site_type_symbol
_atom_site_fract_x
_atom_site_fract_y
_atom_site_fract_z
Be1 Be 0.0000 0.0000 0.5000
Be2 Be 0.5000 0.0000 0.0000
Ti1 Ti 0.0000 0.5000 0.0000
S1 S 0.0000 0.0000 0.0000
I1 I 0.5000 0.5000 0.5000
# Density of states at the Fermi level ... 4.2 states/eV per cell
# Formation energy from raw total energies ... 45.50 kJ/mol of atoms
# Total magnetization ... 0.1775 μB per atom
# Uncorrected energy ... -3.733 eV per atom


3.
# PBE YBe2SI, optimized geometry
data_YBe2SI
_cell_length_a 5.7949
_cell_length_b 4.9748
_cell_length_c 5.7949
_cell_angle_alpha 90.00
_cell_angle_beta 90.00
_cell_angle_gamma 90.00
_space_group_name_H-M_alt 'P 1'
_space_group_IT_number 1
_space_group_name_Hall 'P 1'
loop_
_atom_site_label
_atom_site_type_symbol
_atom_site_fract_x
_atom_site_fract_y
_atom_site_fract_z
Be1 Be 0.5000 0.0000 0.0000
Be2 Be 0.0000 0.0000 0.5000
S1 S 0.0000 0.5000 0.0000
I1 I 0.5000 0.5000 0.5000
Y1 Y 0.0000 0.0000 0.0000
# Density of states at the Fermi level ... 3.1 states/eV per cell
# Formation energy from raw total energies ... 76.03 kJ/mol of atoms
# Total magnetization ... 0.0000 μB per atom
# Uncorrected energy ... -3.131 eV per atom


4.
# PBE YBe2SI, optimized geometry
data_YBe2SI
_cell_length_a 4.5630
_cell_length_b 5.9142
_cell_length_c 4.5630
_cell_angle_alpha 90.00
_cell_angle_beta 90.00
_cell_angle_gamma 90.00
_space_group_name_H-M_alt 'P 1'
_space_group_IT_number 1
_space_group_name_Hall 'P 1'
loop_
_atom_site_label
_atom_site_type_symbol
_atom_site_fract_x
_atom_site_fract_y
_atom_site_fract_z
S1 S 0.5000 0.5000 0.5000
Y1 Y 0.0000 0.5000 0.0000
I1 I 0.0000 0.0000 0.0000
Be1 Be 0.5000 0.0000 0.0000
Be2 Be 0.0000 0.0000 0.5000
# Density of states at the Fermi level ... 3.3 states/eV per cell
# Formation energy from raw total energies ... 89.82 kJ/mol of atoms
# Total magnetization ... 0.0000 μB per atom
# Uncorrected energy ... -2.988 eV per atom


5.
# PBE BeSbI3, optimized geometry
data_BeSbI3
_cell_length_a 6.0326
_cell_length_b 6.0326
_cell_length_c 6.0326
_cell_angle_alpha 90.00
_cell_angle_beta 90.00
_cell_angle_gamma 90.00
_space_group_name_H-M_alt 'P 1'
_space_group_IT_number 1
_space_group_name_Hall 'P 1'
loop_
_atom_site_label
_atom_site_type_symbol
_atom_site_fract_x
_atom_site_fract_y
_atom_site_fract_z
I1 I 0.0000 0.5000 0.0000
I2 I 0.0000 0.0000 0.5000
I3 I 0.5000 0.0000 0.0000
Sb1 Sb 0.0000 0.0000 0.0000
Be1 Be 0.5000 0.5000 0.5000
# Density of states at the Fermi level ... 2.8 states/eV per cell
# Formation energy from raw total energies ... 51.95 kJ/mol of atoms
# Total magnetization ... 0.0189 μB per atom
# Uncorrected energy ... -1.961 eV per atom


6.
# PBE BeSbI3, optimized geometry
data_BeSbI3
_cell_length_a 5.2591
_cell_length_b 5.2591
_cell_length_c 5.2591
_cell_angle_alpha 90.00
_cell_angle_beta 90.00
_cell_angle_gamma 90.00
_space_group_name_H-M_alt 'P 1'
_space_group_IT_number 1
_space_group_name_Hall 'P 1'
loop_
_atom_site_label
_atom_site_type_symbol
_atom_site_fract_x
_atom_site_fract_y
_atom_site_fract_z
Sb1 Sb 0.5000 0.5000 0.5000
I1 I 0.0000 0.0000 0.5000
I2 I 0.0000 0.5000 0.0000
I3 I 0.5000 0.0000 0.0000
Be1 Be 0.0000 0.0000 0.0000
# Density of states at the Fermi level ... 1.8 states/eV per cell
# Formation energy from raw total energies ... 24.91 kJ/mol of atoms
# Total magnetization ... 0.0000 μB per atom
# Uncorrected energy ... -2.242 eV per atom


7.
# PBE ScBeSb2I, optimized geometry
data_ScBeSb2I
_cell_length_a 4.8178
_cell_length_b 4.8178
_cell_length_c 5.6236
_cell_angle_alpha 90.00
_cell_angle_beta 90.00
_cell_angle_gamma 90.00
_space_group_name_H-M_alt 'P 1'
_space_group_IT_number 1
_space_group_name_Hall 'P 1'
loop_
_atom_site_label
_atom_site_type_symbol
_atom_site_fract_x
_atom_site_fract_y
_atom_site_fract_z
I1 I 0.0000 0.0000 0.5000
Sb1 Sb 0.5000 0.0000 0.0000
Sb2 Sb 0.0000 0.5000 0.0000
Sc1 Sc 0.5000 0.5000 0.5000
Be1 Be 0.0000 0.0000 0.0000
# Density of states at the Fermi level ... 2.5 states/eV per cell
# Formation energy from raw total energies ... 24.98 kJ/mol of atoms
# Total magnetization ... 0.0000 μB per atom
# Uncorrected energy ... -3.712 eV per atom


8.
# PBE ScBeSbI2, optimized geometry
data_ScBeSbI2
_cell_length_a 5.6177
_cell_length_b 5.6177
_cell_length_c 5.7903
_cell_angle_alpha 90.00
_cell_angle_beta 90.00
_cell_angle_gamma 90.00
_space_group_name_H-M_alt 'P 1'
_space_group_IT_number 1
_space_group_name_Hall 'P 1'
loop_
_atom_site_label
_atom_site_type_symbol
_atom_site_fract_x
_atom_site_fract_y
_atom_site_fract_z
Sc1 Sc 0.0000 0.0000 0.0000
I1 I 0.0000 0.5000 0.0000
I2 I 0.5000 0.0000 0.0000
Be1 Be 0.5000 0.5000 0.5000
Sb1 Sb 0.0000 0.0000 0.5000
# Density of states at the Fermi level ... 3.0 states/eV per cell
# Formation energy from raw total energies ... 27.32 kJ/mol of atoms
# Total magnetization ... 0.0000 μB per atom
# Uncorrected energy ... -3.173 eV per atom


9.
# PBE ScBeSb2I, optimized geometry
data_ScBeSb2I
_cell_length_a 5.5623
_cell_length_b 5.5623
_cell_length_c 5.5949
_cell_angle_alpha 90.00
_cell_angle_beta 90.00
_cell_angle_gamma 90.00
_space_group_name_H-M_alt 'P 1'
_space_group_IT_number 1
_space_group_name_Hall 'P 1'
loop_
_atom_site_label
_atom_site_type_symbol
_atom_site_fract_x
_atom_site_fract_y
_atom_site_fract_z
Sb1 Sb 0.0000 0.5000 0.0000
Sb2 Sb 0.5000 0.0000 0.0000
Sc1 Sc 0.0000 0.0000 0.0000
Be1 Be 0.5000 0.5000 0.5000
I1 I 0.0000 0.0000 0.5000
# Density of states at the Fermi level ... 5.5 states/eV per cell
# Formation energy from raw total energies ... 57.41 kJ/mol of atoms
# Total magnetization ... 0.0000 μB per atom
# Uncorrected energy ... -3.376 eV per atom


10.
# PBE ScBeSbI2, optimized geometry
data_ScBeSbI2
_cell_length_a 5.0971
_cell_length_b 5.0971
_cell_length_c 5.2535
_cell_angle_alpha 90.00
_cell_angle_beta 90.00
_cell_angle_gamma 90.00
_space_group_name_H-M_alt 'P 1'
_space_group_IT_number 1
_space_group_name_Hall 'P 1'
loop_
_atom_site_label
_atom_site_type_symbol
_atom_site_fract_x
_atom_site_fract_y
_atom_site_fract_z
Be1 Be 0.0000 0.0000 0.0000
Sc1 Sc 0.5000 0.5000 0.5000
I1 I 0.5000 0.0000 0.0000
I2 I 0.0000 0.5000 0.0000
Sb1 Sb 0.0000 0.0000 0.5000
# Density of states at the Fermi level ... 2.8 states/eV per cell
# Formation energy from raw total energies ... 21.79 kJ/mol of atoms
# Total magnetization ... 0.0000 μB per atom
# Uncorrected energy ... -3.230 eV per atom


11.
# PBE BeSbSe2I, optimized geometry
data_BeSbSe2I
_cell_length_a 5.5403
_cell_length_b 4.6222
_cell_length_c 5.5403
_cell_angle_alpha 90.00
_cell_angle_beta 90.00
_cell_angle_gamma 90.00
_space_group_name_H-M_alt 'P 1'
_space_group_IT_number 1
_space_group_name_Hall 'P 1'
loop_
_atom_site_label
_atom_site_type_symbol
_atom_site_fract_x
_atom_site_fract_y
_atom_site_fract_z
I1 I 0.5000 0.5000 0.5000
Be1 Be 0.0000 0.5000 0.0000
Se1 Se 0.0000 0.0000 0.5000
Se2 Se 0.5000 0.0000 0.0000
Sb1 Sb 0.0000 0.0000 0.0000
# Density of states at the Fermi level ... 5.6 states/eV per cell
# Formation energy from raw total energies ... 58.78 kJ/mol of atoms
# Total magnetization ... 0.0000 μB per atom
# Uncorrected energy ... -2.664 eV per atom


12.
# PBE BeSiSb2I, optimized geometry
data_BeSiSb2I
_cell_length_a 4.9366
_cell_length_b 4.9366
_cell_length_c 5.1535
_cell_angle_alpha 90.00
_cell_angle_beta 90.00
_cell_angle_gamma 90.00
_space_group_name_H-M_alt 'P 1'
_space_group_IT_number 1
_space_group_name_Hall 'P 1'
loop_
_atom_site_label
_atom_site_type_symbol
_atom_site_fract_x
_atom_site_fract_y
_atom_site_fract_z
I1 I 0.0000 0.0000 0.5000
Si1 Si 0.5000 0.5000 0.5000
Be1 Be 0.0000 0.0000 0.0000
Sb1 Sb 0.5000 0.0000 0.0000
Sb2 Sb 0.0000 0.5000 0.0000
# Density of states at the Fermi level ... 4.9 states/eV per cell
# Formation energy from raw total energies ... 73.75 kJ/mol of atoms
# Total magnetization ... 0.0000 μB per atom
# Uncorrected energy ... -3.024 eV per atom


13.
# PBE BeSnSbI2, optimized geometry
data_BeSnSbI2
_cell_length_a 5.2112
_cell_length_b 5.2112
_cell_length_c 5.2257
_cell_angle_alpha 90.00
_cell_angle_beta 90.00
_cell_angle_gamma 90.00
_space_group_name_H-M_alt 'P 1'
_space_group_IT_number 1
_space_group_name_Hall 'P 1'
loop_
_atom_site_label
_atom_site_type_symbol
_atom_site_fract_x
_atom_site_fract_y
_atom_site_fract_z
Sn1 Sn 0.5000 0.5000 0.5000
I1 I 0.0000 0.5000 0.0000
I2 I 0.5000 0.0000 0.0000
Be1 Be 0.0000 0.0000 0.0000
Sb1 Sb 0.0000 0.0000 0.5000
# Density of states at the Fermi level ... 2.9 states/eV per cell
# Formation energy from raw total energies ... 27.33 kJ/mol of atoms
# Total magnetization ... 0.0000 μB per atom
# Uncorrected energy ... -2.707 eV per atom


14.
# PBE BeSnSbI2, optimized geometry
data_BeSnSbI2
_cell_length_a 6.0644
_cell_length_b 6.0644
_cell_length_c 5.9733
_cell_angle_alpha 90.00
_cell_angle_beta 90.00
_cell_angle_gamma 90.00
_space_group_name_H-M_alt 'P 1'
_space_group_IT_number 1
_space_group_name_Hall 'P 1'
loop_
_atom_site_label
_atom_site_type_symbol
_atom_site_fract_x
_atom_site_fract_y
_atom_site_fract_z
I1 I 0.0000 0.5000 0.0000
I2 I 0.5000 0.0000 0.0000
Sb1 Sb 0.0000 0.0000 0.5000
Sn1 Sn 0.0000 0.0000 0.0000
Be1 Be 0.5000 0.5000 0.5000
# Density of states at the Fermi level ... 2.8 states/eV per cell
# Formation energy from raw total energies ... 79.47 kJ/mol of atoms
# Total magnetization ... 0.3780 μB per atom
# Uncorrected energy ... -2.167 eV per atom